# TmScFe2O6 | Alexandria via LeMat-Bulk | GGA+U | relaxed
# Density ... 6.3 g/cm3
# DOS(E_F) ... 0.000 states/eV per cell
# Electronic total energy ... -7.52 eV/atom
data_TmScFe2O6
_chemical_formula_sum 'Tm1 Sc1 Fe2 O6'
_cell_length_a 5.297
_cell_length_b 5.297
_cell_length_c 5.528
_cell_angle_alpha 61.37
_cell_angle_beta 61.37
_cell_angle_gamma 60.00
_space_group_name_H-M_alt 'P 1'
_space_group_IT_number 1
loop_
_space_group_symop_operation_xyz
'x,y,z'
loop_
_atom_site_label
_atom_site_type_symbol
_atom_site_fract_x
_atom_site_fract_y
_atom_site_fract_z
Fe1 Fe 0.518 0.518 0.446
Fe2 Fe 0.015 0.015 0.955
O1 O 0.387 0.742 0.738
O2 O 0.659 0.229 0.239
O3 O 0.742 0.132 0.738
O4 O 0.873 0.659 0.239
O5 O 0.229 0.873 0.239
O6 O 0.132 0.387 0.738
Sc1 Sc 0.804 0.804 0.587
Tm1 Tm 0.301 0.301 0.097